Density functional theory data (PBE) for PmDy2UP4 after structural relaxation.

## Properties
- calculated formation energy (eV/atom) = -1.433
- E_tot (hartree per atom) = -0.268
- calculated volume (Å³ per atom) = 22.85

Lattice parameters (Å, degrees): 6.944 4.005 6.962 90.00 109.23 90.00
Space group P2/m (No. 10)
Inequivalent atoms, fractional coordinates:
Pm 0.000 0.000 0.000 [1 per cell]
Dy 0.500 0.000 0.500 [1 per cell]
Dy 0.500 0.500 0.000 [1 per cell]
U 0.000 0.500 0.500 [1 per cell]
P 0.248 0.000 0.742 [2 per cell]
P 0.250 0.500 0.260 [2 per cell]

Density functional theory data (PBE) for Cu3Ag3WSe8 after structural relaxation.

## Properties
- E_tot (hartree per atom) = -0.153
- calculated volume (Å³ per atom) = 20.75

Lattice parameters (Å, degrees): 12.964 7.466 7.777 90.00 124.22 90.00
Space group C2/m (No. 12)
Inequivalent atoms, fractional coordinates:
Cu 0.000 0.000 0.000 [2 per cell]
Cu 0.250 0.250 0.000 [4 per cell]
Ag 0.000 0.500 0.500 [2 per cell]
Ag 0.250 0.250 0.500 [4 per cell]
W 0.000 0.500 0.000 [2 per cell]
Se 0.014 0.256 0.783 [8 per cell]
Se 0.235 0.000 0.197 [4 per cell]
Se 0.237 0.500 0.240 [4 per cell]

Density functional theory data (PBE) for Ba2PuRu3O12 after structural relaxation.

## Properties
- E_tot (hartree per atom) = -0.278
- calculated volume (Å³ per atom) = 15.07

Lattice parameters (Å, degrees): 7.2107 7.2107 18.0702 90.00 90.00 120.00
Space group R-3m (No. 166, hexagonal axes)
Inequivalent atoms, fractional coordinates:
Ba 0.0000 0.0000 0.1289 [6 per cell]
Pu 0.0000 0.0000 0.5000 [3 per cell]
Ru 0.0000 0.5000 0.0000 [9 per cell]
O 0.0336 0.5168 0.1110 [18 per cell]
O 0.0754 0.5377 0.3425 [18 per cell]

Density functional theory data (PBE) for NdScCl4 after structural relaxation.

## Properties
- E_tot (hartree per atom) = -0.181
- calculated volume (Å³ per atom) = 28.00

Lattice parameters (Å, degrees): 7.746 15.975 6.631 90.00 125.01 90.00
Space group C2/c (No. 15)
Inequivalent atoms, fractional coordinates:
Nd 0.000 0.059 0.250 [4 per cell]
Sc 0.000 0.442 0.750 [4 per cell]
Cl 0.218 0.433 0.227 [8 per cell]
Cl 0.234 0.331 0.759 [8 per cell]

Density functional theory data (PBE) for VGa2Cl8 after structural relaxation.

## Properties
- excess energy over the best structure of this formula in the dataset (meV/atom) = 0
- E_tot (hartree per atom) = -0.142
- calculated volume (Å³ per atom) = 31.63

Lattice parameters (Å, degrees): 17.800 8.425 11.853 90.00 128.46 90.00
Space group C2/c (No. 15)
Inequivalent atoms, fractional coordinates:
V 0.000 0.005 0.250 [4 per cell]
Ga 0.083 0.239 0.532 [8 per cell]
Cl 0.064 0.211 0.181 [8 per cell]
Cl 0.080 0.215 0.718 [8 per cell]
Cl 0.145 0.022 0.507 [8 per cell]
Cl 0.153 0.457 0.554 [8 per cell]

Density functional theory data (PBE) for K8Na3 after structural relaxation.

## Properties
- excess energy over the best structure of this formula in the dataset (meV/atom) = 0
- calculated formation energy (eV/atom) = 0.016
- E_tot (hartree per atom) = -0.042
- calculated volume (Å³ per atom) = 61.44

Lattice parameters (Å, degrees): 16.221 4.765 18.332 90.00 107.45 90.00
Space group C2/m (No. 12)
Inequivalent atoms, fractional coordinates:
K 0.043 0.000 0.325 [4 per cell]
K 0.119 0.000 0.970 [4 per cell]
K 0.198 0.500 0.790 [4 per cell]
K 0.210 0.000 0.588 [4 per cell]
Na 0.000 0.500 0.500 [2 per cell]
Na 0.084 0.500 0.153 [4 per cell]

Density functional theory data (PBE) for Pm2FeNi3P4 after structural relaxation.

## Properties
- calculated formation energy (eV/atom) = -0.954
- E_tot (hartree per atom) = -0.244
- calculated volume (Å³ per atom) = 14.90

Lattice parameters (Å, degrees): 4.025 4.025 9.198 90.00 90.00 90.00
Space group P-4m2 (No. 115)
Inequivalent atoms, fractional coordinates:
Pm 0.000 0.500 0.245 [2 per cell]
Fe 0.000 0.000 0.500 [1 per cell]
Ni 0.000 0.500 0.885 [2 per cell]
Ni 0.500 0.500 0.500 [1 per cell]
P 0.000 0.000 0.000 [1 per cell]
P 0.000 0.500 0.629 [2 per cell]
P 0.500 0.500 0.000 [1 per cell]

Density functional theory data (PBE) for Sc2CuSn after structural relaxation.

## Properties
- calculated formation energy (eV/atom) = -0.409
- E_tot (hartree per atom) = -0.206
- calculated volume (Å³ per atom) = 20.05

Lattice parameters (Å, degrees): 3.389 3.389 6.984 90.00 90.00 90.00
Space group P4/mmm (No. 123)
Inequivalent atoms, fractional coordinates:
Sc 0.000 0.000 0.223 [2 per cell]
Cu 0.500 0.500 0.000 [1 per cell]
Sn 0.500 0.500 0.500 [1 per cell]

- calculated volume of number 2 (Cu3Ag3WSe8)?
  20.75 Å³ per atom

- What is the E_tot in the sixth record?
  -0.042 hartree per atom

- What is the calculated volume in the seventh record?
  14.90 Å³ per atom

What did the seventh record say?
Density functional theory data (PBE) for Pm2FeNi3P4 after structural relaxation.

## Properties
- calculated formation energy (eV/atom) = -0.954
- E_tot (hartree per atom) = -0.244
- calculated volume (Å³ per atom) = 14.90

Lattice parameters (Å, degrees): 4.025 4.025 9.198 90.00 90.00 90.00
Space group P-4m2 (No. 115)
Inequivalent atoms, fractional coordinates:
Pm 0.000 0.500 0.245 [2 per cell]
Fe 0.000 0.000 0.500 [1 per cell]
Ni 0.000 0.500 0.885 [2 per cell]
Ni 0.500 0.500 0.500 [1 per cell]
P 0.000 0.000 0.000 [1 per cell]
P 0.000 0.500 0.629 [2 per cell]
P 0.500 0.500 0.000 [1 per cell]